Entry 1:
Material: FeWAu2
Method: DFT, PBE-GGA
State: optimized geometry

The structure in POSCAR format:
```
FeWAu2
1.0
9.322 -0.021 -0.012
8.891 2.801 -0.012
8.891 1.357 2.450
Au Fe W
2 1 1
direct
0.997 0.997 0.997
0.503 0.503 0.503
0.250 0.250 0.250
0.750 0.750 0.750
```

Energy relative to the elements, eV/atom: 0.378
Uncorrected energy, eV per atom: -6.614
Symmetry: No. 166

---

Entry 2:
Material: Nd2AlZn7
Method: DFT, PBE-GGA
State: optimized geometry

The structure in POSCAR format:
```
Nd2AlZn7
1.0
-0.143 2.913 3.063
1.395 -2.861 2.785
10.134 2.806 -2.194
Nd Al Zn
2 1 7
direct
0.500 0.000 0.749
0.000 0.500 0.251
0.500 0.500 0.000
0.000 0.500 0.863
0.500 0.000 0.367
0.500 0.000 0.137
0.000 0.500 0.633
0.000 0.000 0.500
0.000 0.000 0.000
0.500 0.500 0.500
```

Energy relative to the elements, eV/atom: -0.344
Uncorrected energy, eV per atom: -2.564
Symmetry: No. 115

---

Entry 3:
Material: CuAg2Sn2S6
Method: DFT, PBE-GGA
State: optimized geometry

The structure in POSCAR format:
```
CuAg2Sn2S6
1.0
-5.859 1.507 -2.120
0.695 -2.927 5.661
2.427 6.288 1.539
Cu Ag Sn S
1 2 2 6
direct
0.000 0.000 0.500
0.831 0.169 0.000
0.169 0.831 0.000
0.330 0.670 0.500
0.670 0.330 0.500
0.784 0.784 0.707
0.092 0.431 0.734
0.216 0.216 0.293
0.431 0.092 0.734
0.908 0.569 0.266
0.569 0.908 0.266
```

E_form (uncorrected), kJ/mol of formula units: -222
Uncorrected energy, eV per atom: -4.079
Symmetry: No. 12

---

Entry 4:
Material: Y3ReW
Method: DFT, PBE-GGA
State: optimized geometry

The structure in POSCAR format:
```
Y3ReW
1.0
5.307 0.000 0.000
0.000 5.307 0.000
0.000 0.000 5.307
Y Re W
3 1 1
direct
0.000 0.500 0.000
0.000 0.000 0.500
0.500 0.000 0.000
0.000 0.000 0.000
0.500 0.500 0.500
```

Energy relative to the elements, eV/atom: 1.173
Uncorrected energy, eV per atom: -7.786
Symmetry: No. 221

---

Entry 5:
Material: Cs2ReTeF6
Method: DFT, PBE-GGA
State: optimized geometry

The structure in POSCAR format:
```
Cs2ReTeF6
1.0
-3.776 2.010 5.454
3.840 -4.019 4.140
3.405 3.075 5.629
Cs Re Te F
2 1 1 6
direct
0.750 0.250 0.500
0.250 0.750 0.500
0.000 0.000 0.000
0.500 0.500 0.000
0.185 0.185 0.630
0.815 0.815 0.370
0.202 0.202 0.000
0.798 0.798 0.000
0.798 0.202 0.000
0.202 0.798 0.000
```

E_form (uncorrected), kJ/mol of formula units: -1909
Uncorrected energy, eV per atom: -4.831
Symmetry: No. 139

---

Entry 6:
Material: LiC2Br2
Method: DFT, PBE-GGA
State: optimized geometry

The structure in POSCAR format:
```
LiC2Br2
1.0
2.770 0.000 0.000
0.000 2.770 0.000
1.385 1.385 11.930
C Br Li
2 2 1
direct
0.750 0.250 0.500
0.250 0.750 0.500
0.422 0.422 0.155
0.578 0.578 0.845
0.000 0.000 0.000
```

E_form (uncorrected), kJ/mol of formula units: 671
Uncorrected energy, eV per atom: -3.351
Symmetry: No. 139

---

Entry 7:
Material: MgGeIrRu
Method: DFT, PBE-GGA
State: optimized geometry

The structure in POSCAR format:
```
MgGeIrRu
1.0
-2.350 0.538 3.589
-0.426 -3.256 2.814
1.953 0.203 3.853
Ru Ge Ir Mg
1 1 1 1
direct
0.500 0.500 0.500
0.750 0.750 0.750
0.000 0.000 0.000
0.250 0.250 0.250
```

Energy relative to the elements, eV/atom: -0.316
Uncorrected energy, eV per atom: -6.403
Symmetry: No. 216

---

Entry 8:
Material: Ti2GeRhAu
Method: DFT, PBE-GGA
State: optimized geometry

The structure in POSCAR format:
```
Ti2GeRhAu
1.0
4.683 0.000 0.000
0.000 4.609 0.000
0.000 0.000 4.683
Rh Ge Au Ti
1 1 1 2
direct
0.500 0.500 0.500
0.000 0.000 0.000
0.000 0.500 0.000
0.000 0.000 0.500
0.500 0.000 0.000
```

Energy relative to the elements, eV/atom: 0.613
Uncorrected energy, eV per atom: -5.594
Symmetry: No. 123

---

Entry 9:
Material: RbTi2I
Method: DFT, PBE-GGA
State: optimized geometry

The structure in POSCAR format:
```
RbTi2I
1.0
0.000 3.594 3.594
3.594 0.000 3.594
3.594 3.594 0.000
I Rb Ti
1 1 2
direct
0.500 0.500 0.500
0.000 0.000 0.000
0.250 0.250 0.250
0.750 0.750 0.750
```

E_form (uncorrected), kJ/mol of formula units: 469
Uncorrected energy, eV per atom: -3.362
Symmetry: No. 225

---

Entry 10:
Material: CuReTc2
Method: DFT, PBE-GGA
State: optimized geometry

The structure in POSCAR format:
```
CuReTc2
1.0
-2.328 3.899 -1.372
-3.876 2.683 0.528
1.536 3.030 3.190
Cu Re Tc
1 1 2
direct
0.750 0.750 0.750
0.250 0.250 0.250
0.995 0.995 0.006
0.505 0.505 0.494
```

Energy relative to the elements, eV/atom: 0.216
Uncorrected energy, eV per atom: -9.104
Symmetry: No. 12

---

Entry 11:
Material: NdGePd2
Method: DFT, PBE-GGA
State: optimized geometry

The structure in POSCAR format:
```
NdGePd2
1.0
-0.579 -0.754 5.667
-6.943 -1.250 -0.876
1.450 -7.458 -0.844
Nd Ge Pd
4 4 8
direct
0.353 0.750 0.031
0.147 0.750 0.531
0.647 0.250 0.969
0.853 0.250 0.469
0.648 0.750 0.378
0.852 0.750 0.878
0.352 0.250 0.622
0.148 0.250 0.122
0.911 0.552 0.178
0.589 0.948 0.678
0.089 0.052 0.822
0.411 0.448 0.322
0.089 0.448 0.822
0.411 0.052 0.322
0.911 0.948 0.178
0.589 0.552 0.678
```

Energy relative to the elements, eV/atom: -0.866
Uncorrected energy, eV per atom: -5.809
Symmetry: No. 62

---

Entry 12:
Material: Nb2Co2Tc
Method: DFT, PBE-GGA
State: optimized geometry

The structure in POSCAR format:
```
Nb2Co2Tc
1.0
-6.287 -2.138 0.187
-0.137 -0.177 -6.640
1.056 -3.100 0.061
Nb Co Tc
4 4 2
direct
0.177 0.677 0.500
0.677 0.823 0.500
0.823 0.323 0.500
0.323 0.177 0.500
0.377 0.877 0.000
0.877 0.623 0.000
0.623 0.123 0.000
0.123 0.377 0.000
0.000 0.000 0.000
0.500 0.500 0.000
```

Energy relative to the elements, eV/atom: -0.059
Uncorrected energy, eV per atom: -9.002
Symmetry: No. 127

---

Repeat the ninth record exactly.
Material: RbTi2I
Method: DFT, PBE-GGA
State: optimized geometry

The structure in POSCAR format:
```
RbTi2I
1.0
0.000 3.594 3.594
3.594 0.000 3.594
3.594 3.594 0.000
I Rb Ti
1 1 2
direct
0.500 0.500 0.500
0.000 0.000 0.000
0.250 0.250 0.250
0.750 0.750 0.750
```

E_form (uncorrected), kJ/mol of formula units: 469
Uncorrected energy, eV per atom: -3.362
Symmetry: No. 225